Entry 1:
Entry from Alexandria: an optimized crystal structure of SrPRhF2 (GGA-PBE).

abc: 4.3473 4.3473 6.9308
angles: 90.00 90.00 90.00
Last column: nearest neighbours and their distance in Å.
Space group P4/mmm (No. 123)
Asymmetric unit:
Sr 0.0000 0.0000 0.0000 (multiplicity 1)  4 F 2.17
P 0.0000 0.0000 0.5000 (multiplicity 1)  4 Rh 3.07
Rh 0.5000 0.5000 0.5000 (multiplicity 1)  4 P 3.07
F 0.0000 0.5000 0.0000 (multiplicity 2)  2 Sr 2.17

Summary:
Energy   -4.608 eV/atom
Formation energy from raw total energies   -971 meV per atom

---

Entry 2:
Entry from Alexandria: an optimized crystal structure of Ce4Pr2H2Pb3 (GGA-PBE).

abc: 4.7355 4.7355 26.7523
angles: 90.00 90.00 90.00
Last column: nearest neighbours and their distance in Å.
Space group I4/mmm (No. 139)
Asymmetric unit:
Ce 0.0000 0.5000 0.0839 (multiplicity 8)  2 H 2.45
Pr 0.0000 0.0000 0.2006 (multiplicity 4)  1 H 2.50
H 0.0000 0.0000 0.1074 (multiplicity 4)  4 Ce 2.45, 1 Pr 2.50
Pb 0.0000 0.0000 0.3251 (multiplicity 4)  5 Pr 3.33-3.42, 4 Ce 3.39
Pb 0.0000 0.0000 0.5000 (multiplicity 2)  8 Ce 3.26

Summary:
Energy   -5.027 eV/atom